{"formula": "Sm7Ti4Se12O6", "functional": "PBE", "state": "relaxed", "lattice": [[-14.140, 0.839, 1.738], [-14.109, 0.563, -2.071], [-0.650, -11.127, 0.800]], "species": ["O", "O", "O", "O", "O", "O", "Se", "Se", "Se", "Se", "Se", "Se", "Se", "Se", "Se", "Se", "Se", "Se", "Sm", "Sm", "Sm", "Sm", "Sm", "Sm", "Sm", "Ti", "Ti", "Ti", "Ti"], "fractional_positions": [[0.486, 0.486, 0.333], [0.516, 0.516, 0.668], [0.020, 0.020, 0.164], [0.979, 0.979, 0.834], [0.250, 0.250, 0.404], [0.747, 0.747, 0.598], [0.437, 0.437, 0.049], [0.561, 0.561, 0.953], [0.339, 0.339, 0.620], [0.661, 0.661, 0.381], [0.065, 0.065, 0.458], [0.937, 0.937, 0.542], [0.757, 0.757, 0.156], [0.247, 0.247, 0.848], [0.140, 0.140, 0.132], [0.860, 0.860, 0.872], [0.363, 0.363, 0.289], [0.637, 0.637, 0.709], [0.058, 0.058, 0.732], [0.947, 0.947, 0.271], [0.568, 0.568, 0.229], [0.439, 0.439, 0.767], [0.195, 0.195, 0.576], [0.798, 0.798, 0.422], [0.325, 0.325, 0.045], [0.208, 0.208, 0.264], [0.786, 0.786, 0.730], [0.502, 0.502, 0.500], [0.001, 0.001, 0.000]], "n_ef_per_ev_cell": 3.451, "total_magnetization_mub_per_cell": 0.0, "e_form_raw_kj_per_mol_atoms": -210.3}